# 1
## CsRe3Hg (SCAN)

Data for a PBEsol-optimized structure of CsRe3Hg.

Results
**V**: 115.7 Å³ per cell

Lattice parameters (Å, degrees): 4.873 4.873 4.873 90.00 90.00 90.00
Fractional positions:
Cs  0.000  0.000  0.000
Re  0.000  0.000  0.500
Re  0.000  0.500  0.000
Re  0.500  0.000  0.000
Hg  0.500  0.500  0.500

---

# 2
## CsReHgRu2 (SCAN)

Data for a PBEsol-optimized structure of CsReHgRu2.

Results
**V**: 128.6 Å³ per cell

Lattice parameters (Å, degrees): 4.796 4.796 5.590 90.00 90.00 90.00
Fractional positions:
Cs  0.000  0.000  0.000
Re  0.500  0.500  0.500
Hg  0.000  0.000  0.500
Ru  0.000  0.500  0.000
Ru  0.500  0.000  0.000

---

# 3
## CsHg3Rh (SCAN)

Data for a PBEsol-optimized structure of CsHg3Rh.

Results
**V**: 274.1 Å³ per cell

Lattice parameters (Å, degrees): 6.496 6.496 6.496 90.00 90.00 90.00
Fractional positions:
Cs  0.000  0.000  0.000
Hg  0.000  0.000  0.500
Hg  0.000  0.500  0.000
Hg  0.500  0.000  0.000
Rh  0.500  0.500  0.500

---

no.,total energy (eV/atom),energy of formation (eV/atom)
1,-59.5523,4.3015
2,-45.8880,3.4573
3,-54.1595,1.0564